CsNb4S5F (PBE, optimized geometry); DFT total energy = -0.503 Ry per atom; total magnetization = 0.01 μB/f.u.
1.0
4.872 0.000 0.000
0.000 4.872 0.000
0.000 0.000 9.207
Cs Nb S F
1 4 5 1
Direct
0.000 0.000 0.000
0.000 0.500 0.500
0.500 0.000 0.500
0.500 0.500 0.281
0.500 0.500 0.719
0.000 0.000 0.500
0.000 0.500 0.237
0.000 0.500 0.763
0.500 0.000 0.237
0.500 0.000 0.763
0.500 0.500 0.000

***

Cs2NbTlF6 (PBE, optimized geometry); DFT total energy = -0.370 Ry per atom; total magnetization = 2.00 μB/f.u.
1.0
-3.246 3.246 4.611
3.246 -3.246 4.611
3.246 3.246 -4.611
Cs Nb Tl F
2 1 1 6
Direct
0.250 0.750 0.500
0.750 0.250 0.500
0.000 0.000 0.000
0.500 0.500 0.000
0.225 0.225 0.000
0.226 0.226 0.451
0.226 0.774 0.000
0.774 0.226 0.000
0.774 0.774 0.549
0.775 0.775 0.000

***

CsNpF6 (PBE, optimized geometry); DFT total energy = -0.465 Ry per atom; total magnetization = 2.00 μB/f.u.
1.0
3.906 2.255 2.593
-3.906 2.255 2.593
0.000 -4.510 2.593
Cs Np F
1 1 6
Direct
0.000 0.000 0.000
0.500 0.500 0.500
0.218 0.218 0.582
0.218 0.582 0.218
0.418 0.782 0.782
0.582 0.218 0.218
0.782 0.418 0.782
0.782 0.782 0.418

***

CsNp2F8 (PBE, optimized geometry); DFT total energy = -0.528 Ry per atom; total magnetization = 7.00 μB/f.u.
1.0
3.542 -5.489 0.000
3.542 5.489 0.000
-0.651 0.000 4.367
Cs Np F
1 2 8
Direct
0.000 0.000 0.000
0.325 0.675 0.500
0.675 0.325 0.500
0.044 0.336 0.567
0.272 0.728 0.000
0.336 0.044 0.567
0.404 0.404 0.230
0.596 0.596 0.770
0.664 0.956 0.433
0.728 0.272 0.000
0.956 0.664 0.433

***

CsReOF6 (PBE, optimized geometry); DFT total energy = -0.405 Ry per atom; total magnetization = 0.00 μB/f.u.
1.0
7.679 0.000 0.000
0.000 6.726 0.000
-0.428 0.000 10.208
Cs Re O F
4 4 4 24
Direct
0.219 0.243 0.499
0.219 0.257 0.999
0.781 0.743 0.001
0.781 0.757 0.501
0.285 0.720 0.762
0.285 0.780 0.262
0.715 0.220 0.738
0.715 0.280 0.238
0.428 0.743 0.640
0.428 0.757 0.140
0.572 0.243 0.860
0.572 0.257 0.360
0.093 0.655 0.643
0.093 0.845 0.143
0.122 0.684 0.901
0.122 0.816 0.401
0.163 0.536 0.220
0.163 0.964 0.720
0.270 0.067 0.245
0.270 0.433 0.745
0.388 0.573 0.370
0.388 0.927 0.870
0.452 0.601 0.884
0.452 0.899 0.384
0.548 0.101 0.616
0.548 0.399 0.116
0.612 0.073 0.130
0.612 0.427 0.630
0.730 0.567 0.255
0.730 0.933 0.755
0.837 0.036 0.280
0.837 0.464 0.780
0.878 0.184 0.599
0.878 0.316 0.099
0.907 0.155 0.857
0.907 0.345 0.357

***

CsRe3O6F10 (PBE, optimized geometry); DFT total energy = -0.466 Ry per atom; total magnetization = 0.01 μB/f.u.
1.0
6.690 0.000 0.000
-0.335 9.325 0.000
-0.245 -3.966 9.088
Cs Re O F
2 6 12 20
Direct
0.195 0.208 0.123
0.805 0.792 0.877
0.238 0.473 0.664
0.264 0.723 0.121
0.270 0.881 0.627
0.730 0.119 0.373
0.736 0.277 0.879
0.762 0.527 0.336
0.217 0.404 0.477
0.256 0.849 0.300
0.304 0.315 0.695
0.324 0.549 0.126
0.349 0.034 0.586
0.378 0.726 0.495
0.622 0.274 0.505
0.651 0.966 0.414
0.676 0.451 0.874
0.696 0.685 0.305
0.744 0.151 0.700
0.783 0.596 0.523
0.014 0.327 0.911
0.014 0.845 0.533
0.036 0.539 0.303
0.118 0.990 0.800
0.156 0.696 0.691
0.206 0.876 0.037
0.250 0.596 0.888
0.470 0.906 0.773
0.472 0.227 0.913
0.492 0.572 0.687
0.508 0.428 0.313
0.528 0.773 0.087
0.530 0.094 0.227
0.750 0.404 0.112
0.794 0.124 0.963
0.844 0.304 0.309
0.882 0.010 0.200
0.964 0.461 0.697
0.986 0.155 0.467
0.986 0.673 0.089

***

Cs3TbSi4O10F2 (PBE, optimized geometry); DFT total energy = -0.513 Ry per atom; total magnetization = 0.01 μB/f.u.
1.0
7.023 0.000 0.000
-3.502 6.122 0.000
-0.032 -1.901 15.984
Cs Tb Si O F
6 2 8 20 4
Direct
0.125 0.264 0.181
0.154 0.315 0.449
0.185 0.356 0.919
0.815 0.644 0.081
0.846 0.685 0.551
0.875 0.736 0.819
0.500 0.000 0.000
0.500 0.000 0.500
0.077 0.798 0.323
0.287 0.668 0.675
0.384 0.301 0.666
0.446 0.899 0.212
0.554 0.101 0.788
0.616 0.699 0.334
0.713 0.332 0.325
0.923 0.202 0.677
0.035 0.474 0.694
0.126 0.149 0.690
0.203 0.897 0.412
0.219 0.898 0.241
0.294 0.746 0.586
0.345 0.856 0.755
0.425 0.246 0.572
0.438 0.830 0.115
0.449 0.563 0.686
0.460 0.718 0.264
0.540 0.282 0.736
0.551 0.437 0.314
0.562 0.170 0.885
0.575 0.754 0.428
0.655 0.144 0.245
0.706 0.254 0.414
0.781 0.102 0.759
0.797 0.103 0.588
0.874 0.851 0.310
0.965 0.526 0.306
0.155 0.760 0.956
0.392 0.231 0.053
0.608 0.769 0.947
0.845 0.240 0.044

***

Cs3TmSi4O10F2 (PBE, optimized geometry); DFT total energy = -0.514 Ry per atom; total magnetization = 0.00 μB/f.u.
1.0
7.005 0.000 0.000
-3.496 6.102 0.000
-0.015 -1.908 15.860
Cs Tm Si O F
6 2 8 20 4
Direct
0.124 0.262 0.180
0.155 0.316 0.449
0.186 0.358 0.920
0.814 0.642 0.080
0.845 0.684 0.551
0.876 0.738 0.820
0.500 0.000 0.000
0.500 0.000 0.500
0.080 0.798 0.325
0.287 0.669 0.674
0.383 0.299 0.665
0.447 0.899 0.211
0.553 0.101 0.789
0.617 0.701 0.335
0.713 0.331 0.326
0.920 0.202 0.675
0.034 0.474 0.690
0.122 0.146 0.687
0.210 0.902 0.414
0.220 0.896 0.242
0.297 0.750 0.584
0.344 0.855 0.755
0.431 0.242 0.572
0.436 0.832 0.113
0.448 0.562 0.684
0.465 0.716 0.261
0.535 0.284 0.739
0.552 0.438 0.316
0.564 0.168 0.887
0.569 0.758 0.428
0.656 0.145 0.245
0.703 0.250 0.416
0.780 0.104 0.758
0.790 0.098 0.586
0.878 0.854 0.313
0.966 0.526 0.310
0.163 0.766 0.956
0.394 0.226 0.052
0.606 0.774 0.948
0.837 0.234 0.044

***

Cs2PaF6 (PBE, optimized geometry); DFT total energy = -0.423 Ry per atom; total magnetization = 1.00 μB/f.u.
1.0
-3.134 3.134 4.260
3.134 -3.134 4.260
3.134 3.134 -4.260
Cs Pa F
2 1 6
Direct
0.250 0.750 0.500
0.750 0.250 0.500
0.000 0.000 0.000
0.246 0.246 0.492
0.246 0.754 0.000
0.254 0.254 0.000
0.746 0.746 0.000
0.754 0.246 0.000
0.754 0.754 0.508

***

CsPaF6 (PBE, optimized geometry); DFT total energy = -0.458 Ry per atom; total magnetization = 0.00 μB/f.u.
1.0
2.802 1.617 5.253
-2.802 1.617 5.253
0.000 -3.235 5.253
Cs Pa F
1 1 6
Direct
0.000 0.000 0.000
0.500 0.500 0.500
0.073 0.597 0.597
0.403 0.403 0.927
0.403 0.927 0.403
0.597 0.073 0.597
0.597 0.597 0.073
0.927 0.403 0.403

***

Cs2PaF7 (PBE, optimized geometry); DFT total energy = -0.433 Ry per atom; total magnetization = 0.00 μB/f.u.
1.0
7.010 -3.533 0.000
7.010 3.533 0.000
-4.455 0.000 6.772
Cs Pa F
4 2 14
Direct
0.156 0.182 0.120
0.182 0.156 0.620
0.818 0.844 0.380
0.844 0.818 0.880
0.473 0.527 0.750
0.527 0.473 0.250
0.157 0.843 0.750
0.180 0.601 0.210
0.208 0.455 0.523
0.303 0.552 0.925
0.399 0.820 0.290
0.448 0.697 0.575
0.455 0.208 0.023
0.545 0.792 0.977
0.552 0.303 0.425
0.601 0.180 0.710
0.697 0.448 0.075
0.792 0.545 0.477
0.820 0.399 0.790
0.843 0.157 0.250

***

Cs2TcPbF6 (PBE, optimized geometry); DFT total energy = -0.352 Ry per atom; total magnetization = 0.66 μB/f.u.
1.0
3.255 1.879 10.062
-3.255 1.879 10.062
0.000 -3.759 10.062
Cs Tc Pb F
4 2 2 12
Direct
0.130 0.130 0.130
0.281 0.281 0.281
0.719 0.719 0.719
0.870 0.870 0.870
0.000 0.000 0.000
0.500 0.500 0.500
0.410 0.410 0.410
0.590 0.590 0.590
0.127 0.632 0.632
0.187 0.187 0.747
0.187 0.747 0.187
0.253 0.813 0.813
0.368 0.368 0.873
0.368 0.873 0.368
0.632 0.127 0.632
0.632 0.632 0.127
0.747 0.187 0.187
0.813 0.253 0.813
0.813 0.813 0.253
0.873 0.368 0.368

***

Which value of DFT total energy does entry 7 give?
-0.513 Ry per atom